1.
Ti3Ni8Pd2 | Alexandria | PBE-GGA | relaxed; DFT formation energy = -17 kJ per mole of atoms; total energy = -6.351 eV per atom
1.0
2.337 1.349 9.174
-2.337 1.349 9.174
0.000 -2.699 9.174
Ti Ni Pd
3 8 2
direct
0.000 0.000 0.000 Ti
0.186 0.186 0.186 Ti
0.814 0.814 0.814 Ti
0.227 0.729 0.729 Ni
0.270 0.270 0.270 Ni
0.271 0.271 0.773 Ni
0.271 0.773 0.271 Ni
0.729 0.227 0.729 Ni
0.729 0.729 0.227 Ni
0.730 0.730 0.730 Ni
0.773 0.271 0.271 Ni
0.359 0.359 0.359 Pd
0.641 0.641 0.641 Pd

=====

2.
Ti3NiPd3 | Alexandria | PBE-GGA | relaxed; DFT formation energy = -44 kJ per mole of atoms; total energy = -6.894 eV per atom
1.0
3.122 -4.004 0.000
3.122 4.004 0.000
-0.371 0.000 8.614
Ti Ni Pd
6 2 6
direct
0.006 0.633 0.735 Ti
0.186 0.186 0.935 Ti
0.367 0.994 0.265 Ti
0.633 0.006 0.735 Ti
0.814 0.814 0.065 Ti
0.994 0.367 0.265 Ti
0.493 0.493 0.238 Ni
0.507 0.507 0.762 Ni
0.141 0.141 0.624 Pd
0.294 0.706 0.000 Pd
0.324 0.676 0.500 Pd
0.676 0.324 0.500 Pd
0.706 0.294 0.000 Pd
0.859 0.859 0.376 Pd

=====

3.
Ti2Ni3Pd3 | Alexandria | PBE-GGA | relaxed; DFT formation energy = -49 kJ per mole of atoms; total energy = -6.598 eV per atom
1.0
3.787 0.000 0.000
0.000 3.809 0.000
0.000 0.000 7.508
Ti Ni Pd
2 3 3
direct
0.000 0.000 0.243 Ti
0.000 0.000 0.757 Ti
0.500 0.000 0.000 Ni
0.500 0.500 0.244 Ni
0.500 0.500 0.756 Ni
0.000 0.500 0.000 Pd
0.000 0.500 0.500 Pd
0.500 0.000 0.500 Pd

=====

4.
Ti2Ni3Pd | Alexandria | PBE-GGA | relaxed; DFT formation energy = -31 kJ per mole of atoms; relative energy among the computed polymorphs = 0.000 eV per atom; total energy = -6.706 eV per atom
1.0
6.118 -2.167 0.000
6.118 2.167 0.000
-3.742 0.000 6.061
Ti Ni Pd
4 6 2
direct
0.021 0.021 0.209 Ti
0.300 0.300 0.422 Ti
0.700 0.700 0.578 Ti
0.979 0.979 0.791 Ti
0.117 0.117 0.602 Ni
0.209 0.209 0.014 Ni
0.460 0.460 0.300 Ni
0.540 0.540 0.700 Ni
0.791 0.791 0.986 Ni
0.883 0.883 0.398 Ni
0.367 0.367 0.853 Pd
0.633 0.633 0.147 Pd

=====

5.
TiNi2Pd | Alexandria | PBE-GGA | relaxed; DFT formation energy = -33 kJ per mole of atoms; total energy = -6.505 eV per atom
1.0
5.950 0.000 0.000
0.000 5.950 0.000
0.000 0.000 5.950
Ti Ni Pd
4 8 4
direct
0.000 0.000 0.000 Ti
0.000 0.500 0.500 Ti
0.500 0.000 0.500 Ti
0.500 0.500 0.000 Ti
0.250 0.250 0.250 Ni
0.250 0.250 0.750 Ni
0.250 0.750 0.250 Ni
0.250 0.750 0.750 Ni
0.750 0.250 0.250 Ni
0.750 0.250 0.750 Ni
0.750 0.750 0.250 Ni
0.750 0.750 0.750 Ni
0.000 0.000 0.500 Pd
0.000 0.500 0.000 Pd
0.500 0.000 0.000 Pd
0.500 0.500 0.500 Pd

=====

6.
Ti2NiPd4 | Alexandria | PBE-GGA | relaxed; DFT formation energy = -35 kJ per mole of atoms; total energy = -6.409 eV per atom
1.0
6.517 0.000 0.000
0.000 5.138 0.000
-2.925 0.000 6.420
Ti Ni Pd
4 2 8
direct
0.093 0.250 0.435 Ti
0.211 0.750 0.030 Ti
0.789 0.250 0.970 Ti
0.907 0.750 0.565 Ti
0.012 0.250 0.760 Ni
0.988 0.750 0.240 Ni
0.241 0.250 0.159 Pd
0.357 0.502 0.779 Pd
0.357 0.998 0.779 Pd
0.404 0.750 0.438 Pd
0.596 0.250 0.562 Pd
0.643 0.002 0.221 Pd
0.643 0.498 0.221 Pd
0.759 0.750 0.841 Pd

=====

7.
TiNiPd2 | Alexandria | PBE-GGA | relaxed; DFT formation energy = -8 kJ per mole of atoms; total energy = -6.099 eV per atom
1.0
6.815 0.000 0.000
0.000 6.815 0.000
0.000 0.000 5.351
Ti Ni Pd
4 4 8
direct
0.000 0.000 0.000 Ti
0.000 0.500 0.250 Ti
0.500 0.000 0.750 Ti
0.500 0.500 0.500 Ti
0.000 0.000 0.500 Ni
0.000 0.500 0.750 Ni
0.500 0.000 0.250 Ni
0.500 0.500 0.000 Ni
0.246 0.250 0.125 Pd
0.250 0.746 0.375 Pd
0.250 0.754 0.875 Pd
0.254 0.250 0.625 Pd
0.746 0.750 0.625 Pd
0.750 0.246 0.875 Pd
0.750 0.254 0.375 Pd
0.754 0.750 0.125 Pd

=====

8.
Ti2NiPd9 | Alexandria | PBE-GGA | relaxed; DFT formation energy = -41 kJ per mole of atoms; total energy = -6.119 eV per atom
1.0
3.919 0.000 0.000
0.000 3.919 0.000
0.000 0.000 11.701
Ti Ni Pd
2 1 9
direct
0.000 0.000 0.174 Ti
0.000 0.000 0.826 Ti
0.000 0.000 0.500 Ni
0.000 0.500 0.000 Pd
0.000 0.500 0.333 Pd
0.000 0.500 0.667 Pd
0.500 0.000 0.000 Pd
0.500 0.000 0.333 Pd
0.500 0.000 0.667 Pd
0.500 0.500 0.166 Pd
0.500 0.500 0.500 Pd
0.500 0.500 0.834 Pd

=====

9.
Zr2Ti5Ni2Pd | Alexandria | PBE-GGA | relaxed; DFT formation energy = -26 kJ per mole of atoms; total energy = -7.602 eV per atom
1.0
10.361 0.000 0.000
0.000 10.361 0.000
0.000 0.000 3.187
Zr Ti Ni Pd
4 10 4 2
direct
0.176 0.324 0.000 Zr
0.324 0.824 0.000 Zr
0.676 0.176 0.000 Zr
0.824 0.676 0.000 Zr
0.000 0.500 0.500 Ti
0.058 0.794 0.500 Ti
0.206 0.058 0.500 Ti
0.294 0.558 0.500 Ti
0.442 0.294 0.500 Ti
0.500 0.000 0.500 Ti
0.558 0.706 0.500 Ti
0.706 0.442 0.500 Ti
0.794 0.942 0.500 Ti
0.942 0.206 0.500 Ti
0.127 0.627 0.000 Ni
0.373 0.127 0.000 Ni
0.627 0.873 0.000 Ni
0.873 0.373 0.000 Ni
0.000 0.000 0.000 Pd
0.500 0.500 0.000 Pd

=====

10.
Tl2Ni2Pd | Alexandria | PBE-GGA | relaxed; DFT formation energy = 16 kJ per mole of atoms; total energy = -4.132 eV per atom
1.0
6.935 0.000 0.000
0.000 6.935 0.000
0.000 0.000 3.543
Tl Ni Pd
4 4 2
direct
0.176 0.324 0.000 Tl
0.324 0.824 0.000 Tl
0.676 0.176 0.000 Tl
0.824 0.676 0.000 Tl
0.124 0.624 0.500 Ni
0.376 0.124 0.500 Ni
0.624 0.876 0.500 Ni
0.876 0.376 0.500 Ni
0.000 0.000 0.500 Pd
0.500 0.500 0.500 Pd

=====

11.
TlNiPd14 | Alexandria | PBE-GGA | relaxed; DFT formation energy = -1 kJ per mole of atoms; total energy = -5.059 eV per atom
1.0
9.203 0.000 0.000
0.000 2.810 4.840
0.000 -2.810 4.840
Tl Ni Pd
1 1 14
direct
0.000 0.000 0.000 Tl
0.000 0.500 0.500 Ni
0.000 0.000 0.502 Pd
0.000 0.502 0.000 Pd
0.246 0.334 0.334 Pd
0.249 0.336 0.828 Pd
0.249 0.828 0.336 Pd
0.254 0.831 0.831 Pd
0.500 0.165 0.165 Pd
0.500 0.166 0.663 Pd
0.500 0.663 0.166 Pd
0.500 0.664 0.664 Pd
0.746 0.831 0.831 Pd
0.751 0.336 0.828 Pd
0.751 0.828 0.336 Pd
0.754 0.334 0.334 Pd

=====

12.
TlNi2Pd | Alexandria | PBE-GGA | relaxed; DFT formation energy = 11 kJ per mole of atoms; relative energy among the computed polymorphs = 0.004 eV per atom; total energy = -4.671 eV per atom
1.0
3.979 0.000 0.000
0.000 3.979 0.000
0.000 0.000 3.758
Tl Ni Pd
1 2 1
direct
0.000 0.000 0.000 Tl
0.000 0.500 0.500 Ni
0.500 0.000 0.500 Ni
0.500 0.500 0.000 Pd

=====

13.
Tl2NiPd | Alexandria | PBE-GGA | relaxed; DFT formation energy = 50 kJ per mole of atoms; relative energy among the computed polymorphs = 0.376 eV per atom; total energy = -3.411 eV per atom
1.0
6.093 0.000 0.000
0.000 6.093 0.000
0.000 0.000 12.112
Tl Ni Pd
8 4 4
direct
0.228 0.250 0.125 Tl
0.250 0.728 0.375 Tl
0.250 0.772 0.875 Tl
0.272 0.250 0.625 Tl
0.728 0.750 0.625 Tl
0.750 0.228 0.875 Tl
0.750 0.272 0.375 Tl
0.772 0.750 0.125 Tl
0.000 0.000 0.000 Ni
0.000 0.500 0.250 Ni
0.500 0.000 0.750 Ni
0.500 0.500 0.500 Ni
0.000 0.000 0.500 Pd
0.000 0.500 0.750 Pd
0.500 0.000 0.250 Pd
0.500 0.500 0.000 Pd

=====

14.
TlNi2Pd | Alexandria | PBE-GGA | relaxed; DFT formation energy = 40 kJ per mole of atoms; relative energy among the computed polymorphs = 0.309 eV per atom; total energy = -4.366 eV per atom
1.0
3.828 0.000 0.000
0.000 3.828 0.000
0.000 0.000 18.317
Tl Ni Pd
4 8 4
direct
0.000 0.000 0.000 Tl
0.000 0.500 0.250 Tl
0.500 0.000 0.750 Tl
0.500 0.500 0.500 Tl
0.204 0.250 0.625 Ni
0.250 0.704 0.875 Ni
0.250 0.796 0.375 Ni
0.296 0.250 0.125 Ni
0.704 0.750 0.125 Ni
0.750 0.204 0.375 Ni
0.750 0.296 0.875 Ni
0.796 0.750 0.625 Ni
0.000 0.000 0.500 Pd
0.000 0.500 0.750 Pd
0.500 0.000 0.250 Pd
0.500 0.500 0.000 Pd

=====

15.
TlNiPd6 | Alexandria | PBE-GGA | relaxed; DFT formation energy = -5 kJ per mole of atoms; total energy = -4.970 eV per atom
1.0
8.838 0.000 0.000
0.000 4.015 0.000
-3.555 0.000 7.121
Tl Ni Pd
2 2 12
direct
0.000 0.000 0.000 Tl
0.500 0.500 0.000 Tl
0.000 0.000 0.500 Ni
0.500 0.500 0.500 Ni
0.004 0.500 0.735 Pd
0.247 0.000 0.382 Pd
0.247 0.000 0.863 Pd
0.253 0.500 0.137 Pd
0.253 0.500 0.618 Pd
0.496 0.000 0.265 Pd
0.504 0.000 0.735 Pd
0.747 0.500 0.382 Pd
0.747 0.500 0.863 Pd
0.753 0.000 0.137 Pd
0.753 0.000 0.618 Pd
0.996 0.500 0.265 Pd

=====

16.
TlNiPd2 | Alexandria | PBE-GGA | relaxed; DFT formation energy = 2 kJ per mole of atoms; total energy = -4.609 eV per atom
1.0
3.141 0.000 0.000
0.000 3.141 0.000
0.000 0.000 6.599
Tl Ni Pd
1 1 2
direct
0.000 0.000 0.000 Tl
0.000 0.000 0.500 Ni
0.500 0.500 0.285 Pd
0.500 0.500 0.715 Pd

=====

17.
TlNi2Pd | Alexandria | PBE-GGA | relaxed; DFT formation energy = 10 kJ per mole of atoms; relative energy among the computed polymorphs = 0.000 eV per atom; total energy = -4.675 eV per atom
1.0
6.178 0.000 0.000
0.000 6.178 0.000
0.000 0.000 6.178
Tl Ni Pd
4 8 4
direct
0.000 0.000 0.000 Tl
0.000 0.500 0.500 Tl
0.500 0.000 0.500 Tl
0.500 0.500 0.000 Tl
0.250 0.250 0.250 Ni
0.250 0.250 0.750 Ni
0.250 0.750 0.250 Ni
0.250 0.750 0.750 Ni
0.750 0.250 0.250 Ni
0.750 0.250 0.750 Ni
0.750 0.750 0.250 Ni
0.750 0.750 0.750 Ni
0.000 0.000 0.500 Pd
0.000 0.500 0.000 Pd
0.500 0.000 0.000 Pd
0.500 0.500 0.500 Pd

=====

18.
Tl2NiPd9 | Alexandria | PBE-GGA | relaxed; DFT formation energy = -9 kJ per mole of atoms; total energy = -4.868 eV per atom
1.0
4.034 0.000 0.000
0.000 4.034 0.000
0.000 0.000 11.966
Tl Ni Pd
2 1 9
direct
0.000 0.000 0.173 Tl
0.000 0.000 0.827 Tl
0.000 0.000 0.500 Ni
0.000 0.500 0.000 Pd
0.000 0.500 0.348 Pd
0.000 0.500 0.652 Pd
0.500 0.000 0.000 Pd
0.500 0.000 0.348 Pd
0.500 0.000 0.652 Pd
0.500 0.500 0.175 Pd
0.500 0.500 0.500 Pd
0.500 0.500 0.825 Pd

=====

19.
Tl2NiPd | Alexandria | PBE-GGA | relaxed; DFT formation energy = 13 kJ per mole of atoms; relative energy among the computed polymorphs = 0.000 eV per atom; total energy = -3.788 eV per atom
1.0
6.677 0.000 0.000
0.000 6.677 0.000
0.000 0.000 6.677
Tl Ni Pd
8 4 4
direct
0.250 0.250 0.250 Tl
0.250 0.250 0.750 Tl
0.250 0.750 0.250 Tl
0.250 0.750 0.750 Tl
0.750 0.250 0.250 Tl
0.750 0.250 0.750 Tl
0.750 0.750 0.250 Tl
0.750 0.750 0.750 Tl
0.000 0.000 0.000 Ni
0.000 0.500 0.500 Ni
0.500 0.000 0.500 Ni
0.500 0.500 0.000 Ni
0.000 0.000 0.500 Pd
0.000 0.500 0.000 Pd
0.500 0.000 0.000 Pd
0.500 0.500 0.500 Pd

=====

20.
TlNiPd2 | Alexandria | PBE-GGA | relaxed; DFT formation energy = -3 kJ per mole of atoms; total energy = -4.661 eV per atom
1.0
4.047 0.000 0.000
0.000 4.047 0.000
0.000 0.000 3.932
Tl Ni Pd
1 1 2
direct
0.000 0.000 0.000 Tl
0.500 0.500 0.000 Ni
0.000 0.500 0.500 Pd
0.500 0.000 0.500 Pd

=====

21.
Tl3NiPd | Alexandria | PBE-GGA | relaxed; DFT formation energy = 55 kJ per mole of atoms; relative energy among the computed polymorphs = 0.248 eV per atom; total energy = -3.049 eV per atom
1.0
5.321 0.000 0.000
0.000 5.321 0.000
0.000 0.000 5.321
Tl Ni Pd
3 1 1
direct
0.000 0.000 0.500 Tl
0.000 0.500 0.000 Tl
0.500 0.000 0.000 Tl
0.500 0.500 0.500 Ni
0.000 0.000 0.000 Pd

=====

22.
Tl2NiPd2 | Alexandria | PBE-GGA | relaxed; DFT formation energy = 11 kJ per mole of atoms; total energy = -4.064 eV per atom
1.0
6.756 0.000 0.000
0.000 6.756 0.000
0.000 0.000 4.191
Tl Ni Pd
4 2 4
direct
0.171 0.329 0.000 Tl
0.329 0.829 0.000 Tl
0.671 0.171 0.000 Tl
0.829 0.671 0.000 Tl
0.000 0.000 0.500 Ni
0.500 0.500 0.500 Ni
0.143 0.643 0.500 Pd
0.357 0.143 0.500 Pd
0.643 0.857 0.500 Pd
0.857 0.357 0.500 Pd

=====

23.
Tl6NiPd12 | Alexandria | PBE-GGA | relaxed; DFT formation energy = -10 kJ per mole of atoms; total energy = -4.434 eV per atom
1.0
6.042 3.488 2.798
-6.042 3.488 2.798
0.000 -6.977 2.798
Tl Ni Pd
6 1 12
direct
0.045 0.291 0.398 Tl
0.291 0.398 0.045 Tl
0.398 0.045 0.291 Tl
0.602 0.955 0.709 Tl
0.709 0.602 0.955 Tl
0.955 0.709 0.602 Tl
0.500 0.500 0.500 Ni
0.016 0.893 0.322 Pd
0.107 0.678 0.984 Pd
0.237 0.661 0.376 Pd
0.322 0.016 0.893 Pd
0.339 0.624 0.763 Pd
0.376 0.237 0.661 Pd
0.624 0.763 0.339 Pd
0.661 0.376 0.237 Pd
0.678 0.984 0.107 Pd
0.763 0.339 0.624 Pd
0.893 0.322 0.016 Pd
0.984 0.107 0.678 Pd

=====

| no. | N(E_F) (states/eV per atom) |
| --- | --- |
| 1 | 0.5883 |
| 2 | 1.1110 |
| 3 | 0.2500 |
| 4 | 0.8936 |
| 5 | 1.1903 |
| 6 | 0.8224 |
| 7 | 0.2955 |
| 8 | 1.0216 |
| 9 | 1.2402 |
| 10 | 0.7284 |
| 11 | 2.0130 |
| 12 | 1.1857 |
| 13 | 0.5443 |
| 14 | 1.4189 |
| 15 | 1.5546 |
| 16 | 0.9197 |
| 17 | 0.6252 |
| 18 | 1.4663 |
| 19 | 0.4800 |
| 20 | 1.0834 |
| 21 | 1.9300 |
| 22 | 1.0170 |
| 23 | 0.5212 |